The following is a PBE-GGA calculation of crystalline Ac2TlCo at its relaxed geometry, from Alexandria via LeMat-Bulk.

Calculated values
space-group type: Pnma
DFT total energy: -4.55 eV per atom
mass density: 9.4 g/cm³
total magnetic moment: 0.0 Bohr magnetons per cell
calculated volume: 31.6 A^3/atom

```
data_Ac2TlCo
_space_group_name_H-M_alt 'P 1'
_space_group_IT_number 1
_space_group_name_Hall 'P 1'
_cell_length_a 7.785
_cell_length_b 5.672
_cell_length_c 11.460
_cell_angle_alpha 90.00
_cell_angle_beta 90.00
_cell_angle_gamma 90.00
loop_
_atom_site_label
_atom_site_fract_x
_atom_site_fract_y
_atom_site_fract_z
Ac1 0.071 0.250 0.224
Ac2 0.151 0.250 0.572
Ac3 0.349 0.750 0.072
Ac4 0.429 0.750 0.724
Ac5 0.571 0.250 0.276
Ac6 0.651 0.250 0.928
Ac7 0.849 0.750 0.428
Ac8 0.929 0.750 0.776
Tl1 0.154 0.250 0.891
Tl2 0.346 0.750 0.391
Tl3 0.654 0.250 0.609
Tl4 0.846 0.750 0.109
Co1 0.155 0.750 0.584
Co2 0.345 0.250 0.084
Co3 0.655 0.750 0.916
Co4 0.845 0.250 0.416
```